Entry 1:
Compound: LaNd12Co6
Source: Alexandria via LeMat-Bulk
Functional: PBE
Structure: optimized geometry

Its formation energy is -0.04 eV per atom. For the calculated total energy, the calculation gives -5.559 eV per atom.

It has space group Im-3 (No. 204), with a = 10.121 Å, b = 10.121 Å, c = 10.121 Å, α = 90.00°, β = 90.00° and γ = 90.00°. The distinct sites, in fractional coordinates, are La at (0.000, 0.000, 0.000), Nd at (0.000, 0.311, 0.195) and Co at (0.000, 0.111, 0.500).



Entry 2:
Compound: La8PmY2
Source: Alexandria via LeMat-Bulk
Functional: PBE
Structure: optimized geometry

For the energy relative to the lowest polymorph listed for this composition, the calculation gives 0.102 eV/atom. Its formation energy is 0.12 eV per atom. For the calculated total energy, the calculation gives -5.071 eV per atom.

It has space group C2/m (No. 12), with a = 9.314 Å, b = 16.983 Å, c = 6.121 Å, α = 90.00°, β = 124.79° and γ = 90.00°. The distinct sites, in fractional coordinates, are La at (0.000, 0.205, 0.000), La at (0.078, 0.500, 0.800), La at (0.217, 0.120, 0.688), Pm at (0.000, 0.000, 0.000) and Y at (0.000, 0.311, 0.500).



Entry 3:
Compound: SnPd12Au7
Source: Alexandria via LeMat-Bulk
Functional: PBE
Structure: optimized geometry

Its formation energy is -0.05 eV per atom. For the calculated total energy, the calculation gives -4.510 eV per atom.

It has space group R-3m (No. 166, hexagonal axes), with a = 10.9210 Å, b = 10.9210 Å, c = 9.7625 Å, α = 90.00°, β = 90.00° and γ = 120.00°. The distinct sites, in fractional coordinates, are Sn at (0.0000, 0.0000, 0.0000), Pd at (0.0000, 0.2556, 0.0000), Pd at (0.0452, 0.5226, 0.1250), Au at (0.0000, 0.0000, 0.5000) and Au at (0.0880, 0.1760, 0.7480).



Entry 4:
Compound: K2NpPbO4
Source: Alexandria via LeMat-Bulk
Functional: PBE
Structure: optimized geometry

The calculation puts the uncorrected formation energy at -44.6 kcal/mol of atoms. For the calculated total energy, the calculation gives -6.770 eV per atom.

It has space group P2/m (No. 10), with a = 6.945 Å, b = 3.458 Å, c = 7.200 Å, α = 90.00°, β = 116.15° and γ = 90.00°. The distinct sites, in fractional coordinates, are K at (0.000, 0.000, 0.000), K at (0.500, 0.500, 0.500), Np at (0.000, 0.000, 0.500), Pb at (0.500, 0.500, 0.000), O at (0.051, 0.500, 0.333) and O at (0.321, 0.000, 0.696).



Entry 5:
Compound: LiSm2ZrSe5
Source: Alexandria via LeMat-Bulk
Functional: PBE
Structure: optimized geometry

The calculation puts the uncorrected formation energy at -36.2 kcal/mol of atoms. For the calculated total energy, the calculation gives -5.717 eV per atom.

It has space group Cmc2_1 (No. 36), with a = 4.018 Å, b = 17.153 Å, c = 12.151 Å, α = 90.00°, β = 90.00° and γ = 90.00°. The distinct sites, in fractional coordinates, are Li at (0.000, 0.054, 0.000), Sm at (0.000, 0.370, 0.851), Sm at (0.000, 0.392, 0.236), Zr at (0.000, 0.305, 0.561), Se at (0.000, 0.005, 0.322), Se at (0.000, 0.142, 0.548), Se at (0.000, 0.190, 0.901), Se at (0.000, 0.217, 0.216) and Se at (0.000, 0.450, 0.609).



Entry 6:
Compound: BaSnHg
Source: Alexandria via LeMat-Bulk
Functional: PBE
Structure: optimized geometry

Its formation energy is -0.41 eV per atom. For the calculated total energy, the calculation gives -2.486 eV per atom.

It has space group P1 (No. 1), with a = 4.441 Å, b = 5.874 Å, c = 9.190 Å, α = 102.28°, β = 103.37° and γ = 90.11°. The distinct sites, in fractional coordinates, are Ba at (0.000, 0.000, 0.000), Ba at (0.243, 0.445, 0.468), Sn at (0.496, 0.491, 0.994), Sn at (0.890, 0.433, 0.772), Hg at (0.634, 0.927, 0.278) and Hg at (0.810, 0.926, 0.602).



Entry 7:
Compound: CuPd2Se
Source: Alexandria via LeMat-Bulk
Functional: PBE
Structure: optimized geometry

The calculation puts the uncorrected formation energy at 0.7 kcal/mol of atoms. For the calculated total energy, the calculation gives -4.460 eV per atom.

It has space group I-42d (No. 122), with a = 3.876 Å, b = 3.876 Å, c = 17.620 Å, α = 90.00°, β = 90.00° and γ = 90.00°. The distinct sites, in fractional coordinates, are Cu at (0.000, 0.000, 0.000), Pd at (0.246, 0.250, 0.625) and Se at (0.000, 0.000, 0.500).



Entry 8:
Compound: MnSb2S4
Source: Alexandria via LeMat-Bulk
Functional: PBE
Structure: optimized geometry

The calculation puts the uncorrected formation energy at -0.8 kcal/mol of atoms. For the energy relative to the lowest polymorph listed for this composition, the calculation gives 0.314 eV/atom. For the calculated total energy, the calculation gives -4.880 eV per atom.

It has space group I4/mmm (No. 139), with a = 4.602 Å, b = 4.602 Å, c = 14.037 Å, α = 90.00°, β = 90.00° and γ = 90.00°. The distinct sites, in fractional coordinates, are Mn at (0.000, 0.000, 0.000), Sb at (0.000, 0.000, 0.361), S at (0.000, 0.000, 0.178) and S at (0.000, 0.500, 0.000).



Entry 9:
Compound: KAlOs2
Source: Alexandria via LeMat-Bulk
Functional: PBE
Structure: optimized geometry

Its formation energy is 1.43 eV per atom. For the calculated total energy, the calculation gives -5.400 eV per atom.

It has space group P4/mmm (No. 123), with a = 3.926 Å, b = 3.926 Å, c = 4.516 Å, α = 90.00°, β = 90.00° and γ = 90.00°. The distinct sites, in fractional coordinates, are K at (0.000, 0.000, 0.000), Al at (0.500, 0.500, 0.000) and Os at (0.000, 0.500, 0.500).



Entry 10:
Compound: BAuO2F
Source: Alexandria via LeMat-Bulk
Functional: PBE
Structure: optimized geometry

The calculation puts the uncorrected formation energy at -8.6 kcal/mol of atoms. For the calculated total energy, the calculation gives -4.721 eV per atom.

It has space group P4/mmm (No. 123), with a = 3.165 Å, b = 3.165 Å, c = 5.290 Å, α = 90.00°, β = 90.00° and γ = 90.00°. The distinct sites, in fractional coordinates, are B at (0.000, 0.000, 0.000), Au at (0.500, 0.500, 0.500), O at (0.000, 0.500, 0.000) and F at (0.000, 0.000, 0.500).



Entry 11:
Compound: PtAu
Source: Alexandria via LeMat-Bulk
Functional: PBE
Structure: optimized geometry

Its formation energy is 0.51 eV per atom. For the calculated total energy, the calculation gives -4.151 eV per atom.

It has space group P4_2/mnm (No. 136), with a = 8.530 Å, b = 8.530 Å, c = 2.717 Å, α = 90.00°, β = 90.00° and γ = 90.00°. The distinct sites, in fractional coordinates, are Pt at (0.109, 0.109, 0.000) and Au at (0.199, 0.801, 0.000).



Entry 12:
Compound: VGa2H
Source: Alexandria via LeMat-Bulk
Functional: PBE
Structure: optimized geometry

For the energy relative to the lowest polymorph listed for this composition, the calculation gives 0.355 eV/atom. For the calculated total energy, the calculation gives -4.393 eV per atom.

It has space group I-42d (No. 122), with a = 6.226 Å, b = 6.226 Å, c = 5.090 Å, α = 90.00°, β = 90.00° and γ = 90.00°. The distinct sites, in fractional coordinates, are V at (0.000, 0.000, 0.000), Ga at (0.174, 0.250, 0.625) and H at (0.000, 0.000, 0.500).



Entry 13:
Compound: Dy5ThTl4
Source: Alexandria via LeMat-Bulk
Functional: PBE
Structure: optimized geometry

Its formation energy is -0.28 eV per atom. For the calculated total energy, the calculation gives -4.271 eV per atom.

It has space group P4/mmm (No. 123), with a = 3.557 Å, b = 3.557 Å, c = 22.143 Å, α = 90.00°, β = 90.00° and γ = 90.00°. The distinct sites, in fractional coordinates, are Dy at (0.000, 0.000, 0.000), Dy at (0.000, 0.000, 0.195), Dy at (0.000, 0.000, 0.390), Th at (0.500, 0.500, 0.500), Tl at (0.500, 0.500, 0.098) and Tl at (0.500, 0.500, 0.293).



Entry 14:
Compound: TbPm2Te4
Source: Alexandria via LeMat-Bulk
Functional: PBE
Structure: optimized geometry

The calculation puts the uncorrected formation energy at -31.7 kcal/mol of atoms. For the energy relative to the lowest polymorph listed for this composition, the calculation gives 0.029 eV/atom. For the calculated total energy, the calculation gives -5.190 eV per atom.

It has space group Cmcm (No. 63), with a = 4.289 Å, b = 14.667 Å, c = 15.214 Å, α = 90.00°, β = 90.00° and γ = 90.00°. The distinct sites, in fractional coordinates, are Tb at (0.000, 0.128, 0.250), Pm at (0.000, 0.368, 0.070), Te at (0.000, 0.000, 0.000), Te at (0.000, 0.281, 0.625) and Te at (0.000, 0.474, 0.250).



Entry 15:
Compound: YTm7Tl2
Source: Alexandria via LeMat-Bulk
Functional: PBE
Structure: optimized geometry

Its formation energy is 0.37 eV per atom. For the calculated total energy, the calculation gives -3.879 eV per atom.

It has space group Cmmm (No. 65), with a = 9.063 Å, b = 15.400 Å, c = 5.277 Å, α = 90.00°, β = 90.00° and γ = 90.00°. The distinct sites, in fractional coordinates, are Y at (0.000, 0.000, 0.000), Tm at (0.000, 0.226, 0.000), Tm at (0.000, 0.500, 0.500), Tm at (0.182, 0.121, 0.500) and Tl at (0.000, 0.307, 0.500).



Entry 16:
Compound: FeH2RuW
Source: Alexandria via LeMat-Bulk
Functional: PBE
Structure: optimized geometry

For the calculated total energy, the calculation gives -6.574 eV per atom.

It has space group P4/mmm (No. 123), with a = 3.517 Å, b = 3.517 Å, c = 4.933 Å, α = 90.00°, β = 90.00° and γ = 90.00°. The distinct sites, in fractional coordinates, are Fe at (0.000, 0.000, 0.000), H at (0.000, 0.500, 0.500), Ru at (0.500, 0.500, 0.000) and W at (0.500, 0.500, 0.500).



Entry 17:
Compound: BaYb2O4
Source: Alexandria via LeMat-Bulk
Functional: PBE
Structure: optimized geometry

The calculation puts the uncorrected formation energy at -62.7 kcal/mol of atoms. For the calculated total energy, the calculation gives -6.264 eV per atom.

It has space group I4_1/amd (No. 141, origin choice 2), with a = 7.069 Å, b = 7.069 Å, c = 10.017 Å, α = 90.00°, β = 90.00° and γ = 90.00°. The distinct sites, in fractional coordinates, are Ba at (0.000, 0.250, 0.375), Yb at (0.000, 0.000, 0.000) and O at (0.000, 0.041, 0.771).



Entry 18:
Compound: BaGe3Au
Source: Alexandria via LeMat-Bulk
Functional: PBE
Structure: optimized geometry

Its formation energy is -0.45 eV per atom. For the calculated total energy, the calculation gives -4.259 eV per atom.

It has space group Cm (No. 8), with a = 6.716 Å, b = 6.711 Å, c = 6.189 Å, α = 90.00°, β = 122.75° and γ = 90.00°. The distinct sites, in fractional coordinates, are Ba at (0.000, 0.000, 0.000), Ge at (0.005, 0.250, 0.510), Ge at (0.383, 0.000, 0.765) and Au at (0.139, 0.500, 0.276).



Entry 19:
Compound: HfMgGeIr
Source: Alexandria via LeMat-Bulk
Functional: PBE
Structure: optimized geometry

Its formation energy is -0.48 eV per atom. For the calculated total energy, the calculation gives -6.738 eV per atom.

It has space group F-43m (No. 216), with a = 6.513 Å, b = 6.513 Å, c = 6.513 Å, α = 90.00°, β = 90.00° and γ = 90.00°. The distinct sites, in fractional coordinates, are Hf at (0.000, 0.000, 0.000), Mg at (0.000, 0.000, 0.500), Ge at (0.250, 0.250, 0.250) and Ir at (0.250, 0.250, 0.750).



Entry 20:
Compound: Sr3CePa3N8
Source: Alexandria via LeMat-Bulk
Functional: PBE
Structure: optimized geometry

The calculation puts the uncorrected formation energy at -30.6 kcal/mol of atoms. For the calculated total energy, the calculation gives -8.397 eV per atom.

It has space group R-3m (No. 166, hexagonal axes), with a = 7.2053 Å, b = 7.2053 Å, c = 18.0725 Å, α = 90.00°, β = 90.00° and γ = 120.00°. The distinct sites, in fractional coordinates, are Sr at (0.0000, 0.5000, 0.0000), Ce at (0.0000, 0.0000, 0.5000), Pa at (0.0000, 0.5000, 0.5000), N at (0.0000, 0.0000, 0.2353) and N at (0.0093, 0.5047, 0.7748).